A plane-wave DFT calculation with PBE was carried out for an optimized crystal structure of LaPrIrPt.

a = 4.027 Å, b = 4.361 Å, c = 5.950 Å
α = 90.00°, β = 109.78°, γ = 90.00°
Positions (direct):
Pr 0.141 0.000 0.282
Pt 0.586 0.500 0.172
Ir 0.410 0.000 0.820
La 0.863 0.500 0.726

Calculated values
Size of the total moment   0.0 μB/cell
V   98.3 Å³/cell
Energy relative to the elements   -0.91 eV/atom
ΔE to the lowest computed polymorph   0 meV per atom
Space-group type   Amm2, No. 38

=====

A plane-wave DFT calculation with PBE was carried out for an optimized crystal structure of TlAgC.

a = 7.928 Å, b = 4.083 Å, c = 4.557 Å
α = 90.01°, β = 67.39°, γ = 75.00°
Positions (direct):
C 0.160 0.593 0.810
C 0.979 0.682 0.928
Ag 0.678 0.832 0.172
Ag 0.300 0.021 0.580
Tl 0.481 0.429 0.902
Tl 0.957 0.193 0.400

Calculated values
Size of the total moment   0.0 μB/cell
V   130.7 Å³/cell
Energy relative to the elements   0.72 eV/atom
Space-group type   P1, No. 1

=====

A plane-wave DFT calculation with PBE was carried out for an optimized crystal structure of TlPtI.

a = 9.294 Å, b = 7.841 Å, c = 6.328 Å
α = 90.00°, β = 126.02°, γ = 90.00°
Positions (direct):
Tl 0.390 0.417 0.644
Tl 0.610 0.583 0.356
Tl 0.110 0.917 0.356
Tl 0.890 0.083 0.644
Pt 0.640 0.263 0.170
Pt 0.140 0.237 0.170
Pt 0.860 0.763 0.830
Pt 0.360 0.737 0.830
I 0.874 0.402 0.119
I 0.374 0.098 0.119
I 0.626 0.902 0.881
I 0.126 0.598 0.881

Calculated values
ΔE_f (raw)   -11 kJ per mole of atoms
Size of the total moment   0.0 μB/cell
V   373.0 Å³/cell
Space-group type   P2_1/c, No. 14

=====

A plane-wave DFT calculation with PBE was carried out for an optimized crystal structure of YTaPb4.

a = 6.284 Å, b = 6.284 Å, c = 6.284 Å
α = 60.00°, β = 60.00°, γ = 60.00°
Positions (direct):
Ta 0.750 0.750 0.750
Pb 0.375 0.375 0.375
Pb 0.375 0.375 0.874
Pb 0.375 0.874 0.375
Pb 0.874 0.375 0.375
Y 0.000 0.000 0.000

Calculated values
Size of the total moment   1.8 μB/cell
V   175.5 Å³/cell
Energy relative to the elements   0.63 eV/atom
Space-group type   F-43m, No. 216

=====

A plane-wave DFT calculation with PBE was carried out for an optimized crystal structure of ErNpC2.

a = 3.537 Å, b = 3.537 Å, c = 6.047 Å
α = 73.00°, β = 73.00°, γ = 60.00°
Positions (direct):
Np 0.500 0.500 0.500
C 0.240 0.240 0.281
C 0.760 0.760 0.719
Er 0.000 0.000 0.000

Calculated values
Size of the total moment   1.9 μB/cell
V   61.7 Å³/cell
Energy relative to the elements   -0.10 eV/atom
Space-group type   R-3m, No. 166

=====

A plane-wave DFT calculation with PBE was carried out for an optimized crystal structure of SrLa2Sb.

a = 4.354 Å, b = 4.354 Å, c = 10.894 Å
α = 78.47°, β = 78.47°, γ = 60.00°
Positions (direct):
La 0.273 0.273 0.181
La 0.060 0.060 0.819
Sr 0.500 0.500 0.499
Sb 0.666 0.666 0.001

Calculated values
ΔE_f (raw)   -44 kJ per mole of atoms
Size of the total moment   1.4 μB/cell
V   174.0 Å³/cell
Space-group type   R3m, No. 160

=====

A plane-wave DFT calculation with PBE was carried out for an optimized crystal structure of PrPuCl2.

a = 5.050 Å, b = 5.050 Å, c = 5.087 Å
α = 60.24°, β = 60.24°, γ = 60.00°
Positions (direct):
Cl 0.250 0.250 0.251
Cl 0.750 0.750 0.749
Pu 0.500 0.500 0.500
Pr 0.000 0.000 0.000

Calculated values
ΔE_f (raw)   -90 kJ per mole of atoms
Size of the total moment   6.5 μB/cell
V   92.1 Å³/cell
Space-group type   R-3m, No. 166

=====

A plane-wave DFT calculation with PBE was carried out for an optimized crystal structure of Th4P3C.

a = 4.032 Å, b = 7.057 Å, c = 7.057 Å
α = 109.07°, β = 90.00°, γ = 90.00°
Positions (direct):
Th 0.000 0.228 0.228
Th 0.500 0.238 0.762
Th 0.000 0.772 0.772
Th 0.500 0.762 0.238
P 0.000 0.500 0.000
P 0.000 0.000 0.500
P 0.500 0.500 0.500
C 0.500 0.000 0.000

Calculated values
Size of the total moment   0.0 μB/cell
V   189.8 Å³/cell
Energy relative to the elements   -1.20 eV/atom
ΔE to the lowest computed polymorph   0 meV per atom
Space-group type   Cmmm, No. 65

=====

A plane-wave DFT calculation with PBE was carried out for an optimized crystal structure of ThZnGeAu.

a = 4.970 Å, b = 4.970 Å, c = 4.970 Å
α = 60.00°, β = 60.00°, γ = 60.00°
Positions (direct):
Th 0.750 0.750 0.750
Ge 0.000 0.000 0.000
Zn 0.250 0.250 0.250
Au 0.500 0.500 0.500

Calculated values
Size of the total moment   0.0 μB/cell
V   86.8 Å³/cell
Energy relative to the elements   -0.38 eV/atom
Space-group type   F-43m, No. 216

=====

A plane-wave DFT calculation with PBE was carried out for an optimized crystal structure of MgAl2ReF.

a = 5.053 Å, b = 4.841 Å, c = 5.053 Å
α = 90.00°, β = 90.00°, γ = 90.00°
Positions (direct):
Al 0.500 0.000 0.000
Al 0.000 0.000 0.500
Mg 0.000 0.000 0.000
Re 0.000 0.500 0.000
F 0.500 0.500 0.500

Calculated values
ΔE_f (raw)   130 kJ per mole of atoms
Size of the total moment   2.9 μB/cell
V   123.6 Å³/cell
Space-group type   P4/mmm, No. 123

=====

A plane-wave DFT calculation with PBE was carried out for an optimized crystal structure of PtICl3.

a = 15.047 Å, b = 10.039 Å, c = 7.670 Å
α = 142.10°, β = 34.94°, γ = 147.22°
Positions (direct):
Cl 0.777 0.471 0.668
Cl 0.884 0.676 0.307
Cl 0.581 0.877 0.754
Cl 0.179 0.375 0.753
Cl 0.072 0.170 0.115
Cl 0.375 0.969 0.668
Pt 0.329 0.503 0.908
Pt 0.627 0.343 0.513
I 0.502 0.654 0.091
I 0.454 0.192 0.331

Calculated values
ΔE_f (raw)   -27 kJ per mole of atoms
Size of the total moment   0.0 μB/cell
V   340.1 Å³/cell
ΔE to the lowest computed polymorph   0 meV per atom
Space-group type   P-1, No. 2

=====

A plane-wave DFT calculation with PBE was carried out for an optimized crystal structure of Cr2TcNiAs.

a = 4.318 Å, b = 4.504 Å, c = 4.318 Å
α = 90.00°, β = 90.00°, γ = 90.00°
Positions (direct):
As 0.000 0.000 0.000
Cr 0.500 0.000 0.000
Cr 0.000 0.000 0.500
Tc 0.000 0.500 0.000
Ni 0.500 0.500 0.500

Calculated values
Size of the total moment   0.0 μB/cell
V   84.0 Å³/cell
Energy relative to the elements   1.38 eV/atom
Space-group type   P4/mmm, No. 123

=====

A plane-wave DFT calculation with PBE was carried out for an optimized crystal structure of NbCrSb2Te.

a = 5.028 Å, b = 5.028 Å, c = 5.205 Å
α = 90.00°, β = 90.00°, γ = 90.00°
Positions (direct):
Cr 0.000 0.000 0.000
Nb 0.500 0.500 0.500
Sb 0.500 0.000 0.000
Sb 0.000 0.500 0.000
Te 0.000 0.000 0.500

Calculated values
ΔE_f (raw)   80 kJ per mole of atoms
Size of the total moment   5.3 μB/cell
V   131.6 Å³/cell
ΔE to the lowest computed polymorph   149 meV per atom
Space-group type   P4/mmm, No. 123

=====

A plane-wave DFT calculation with PBE was carried out for an optimized crystal structure of CsLi2H3.

a = 4.952 Å, b = 6.706 Å, c = 6.706 Å
α = 103.55°, β = 90.00°, γ = 90.00°
Positions (direct):
H 0.750 0.179 0.358
H 0.750 0.642 0.821
H 0.250 0.358 0.179
H 0.250 0.930 0.070
H 0.250 0.821 0.642
H 0.750 0.070 0.930
Li 0.500 0.846 0.846
Li 0.000 0.846 0.846
Li 0.500 0.154 0.154
Li 0.000 0.154 0.154
Cs 0.750 0.681 0.319
Cs 0.250 0.319 0.681

Calculated values
Energy   -33.124 eV/cell
Size of the total moment   0.0 μB/cell
V   216.5 Å³/cell
Space-group type   Cmcm, No. 63

=====

A plane-wave DFT calculation with PBE was carried out for an optimized crystal structure of SrCaNiAu.

a = 5.175 Å, b = 5.175 Å, c = 5.175 Å
α = 60.00°, β = 60.00°, γ = 60.00°
Positions (direct):
Ni 0.250 0.250 0.250
Sr 0.500 0.500 0.500
Au 0.750 0.750 0.750
Ca 0.000 0.000 0.000

Calculated values
Size of the total moment   0.0 μB/cell
V   98.0 Å³/cell
Energy relative to the elements   -0.29 eV/atom
Space-group type   F-43m, No. 216

=====

A plane-wave DFT calculation with PBE was carried out for an optimized crystal structure of BeZnPb.

a = 3.846 Å, b = 3.845 Å, c = 9.260 Å
α = 89.95°, β = 90.04°, γ = 120.00°
Positions (direct):
Be 0.544 0.905 0.468
Be 0.211 0.238 0.440
Zn 0.878 0.572 0.538
Zn 0.212 0.238 0.694
Pb 0.879 0.571 0.221
Pb 0.545 0.904 0.911

Calculated values
Size of the total moment   0.0 μB/cell
V   118.6 Å³/cell
Energy relative to the elements   0.22 eV/atom
Space-group type   Cm, No. 8

=====

A plane-wave DFT calculation with PBE was carried out for an optimized crystal structure of FeAsAu2.

a = 6.272 Å, b = 6.272 Å, c = 6.272 Å
α = 154.35°, β = 136.67°, γ = 51.03°
Positions (direct):
Au 0.704 0.204 0.500
Au 0.976 0.976 0.000
Fe 0.503 0.503 0.000
As 0.316 0.816 0.500

Calculated values
Size of the total moment   2.8 μB/cell
V   73.0 Å³/cell
Energy relative to the elements   0.20 eV/atom
Space-group type   Imm2, No. 44

=====

A plane-wave DFT calculation with PBE was carried out for an optimized crystal structure of SmTlAgPb.

a = 4.567 Å, b = 4.873 Å, c = 4.644 Å
α = 90.00°, β = 90.00°, γ = 90.00°
Positions (direct):
Tl 0.500 0.000 0.500
Sm 0.000 0.500 0.500
Ag 0.000 0.000 0.000
Pb 0.500 0.500 0.000

Calculated values
Size of the total moment   0.0 μB/cell
V   103.4 Å³/cell
Energy relative to the elements   -0.28 eV/atom
ΔE to the lowest computed polymorph   0 meV per atom
Space-group type   Pmmm, No. 47

=====

A plane-wave DFT calculation with PBE was carried out for an optimized crystal structure of K3TbDy2O6.

a = 6.048 Å, b = 6.048 Å, c = 6.582 Å
α = 98.81°, β = 98.81°, γ = 120.00°
Positions (direct):
O 0.938 0.603 0.814
O 0.273 0.273 0.814
O 0.727 0.727 0.186
O 0.062 0.397 0.186
O 0.603 0.938 0.814
O 0.397 0.062 0.186
Dy 0.333 0.667 0.000
Dy 0.667 0.333 0.000
K 0.167 0.833 0.500
K 0.500 0.500 0.500
K 0.833 0.167 0.500
Tb 0.000 0.000 0.000

Calculated values
ΔE_f (raw)   -266 kJ per mole of atoms
Size of the total moment   0.0 μB/cell
V   198.5 Å³/cell
Space-group type   C2/m, No. 12

=====

A plane-wave DFT calculation with PBE was carried out for an optimized crystal structure of Ac2DyPbS6.

a = 7.007 Å, b = 7.634 Å, c = 10.165 Å
α = 90.00°, β = 90.80°, γ = 90.00°
Positions (direct):
S 0.325 0.693 0.071
S 0.687 0.317 0.566
S 0.142 0.447 0.746
S 0.175 0.193 0.429
S 0.858 0.553 0.254
S 0.187 0.183 0.066
S 0.825 0.807 0.571
S 0.642 0.053 0.246
S 0.358 0.947 0.754
S 0.813 0.817 0.934
S 0.675 0.307 0.929
S 0.313 0.683 0.434
Dy 0.000 0.500 0.500
Dy 0.500 0.000 0.000
Pb 0.000 0.500 0.000
Pb 0.500 0.000 0.500
Ac 0.536 0.592 0.747
Ac 0.464 0.408 0.253
Ac 0.036 0.908 0.247
Ac 0.964 0.092 0.753

Calculated values
ΔE_f (raw)   -158 kJ per mole of atoms
Size of the total moment   0.0 μB/cell
V   543.6 Å³/cell
Space-group type   P2_1/c, No. 14

=====

A plane-wave DFT calculation with PBE was carried out for an optimized crystal structure of Cs2PrMn2Se4.

a = 4.337 Å, b = 8.551 Å, c = 8.287 Å
α = 108.00°, β = 105.17°, γ = 90.00°
Positions (direct):
Se 0.525 0.774 0.050
Se 0.475 0.226 0.950
Se 0.800 0.843 0.601
Se 0.200 0.157 0.399
Mn 0.678 0.982 0.355
Mn 0.322 0.018 0.645
Cs 0.866 0.448 0.733
Cs 0.134 0.552 0.267
Pr 0.000 0.000 0.000

Calculated values
ΔE_f (raw)   -106 kJ per mole of atoms
Size of the total moment   9.0 μB/cell
V   281.0 Å³/cell
Space-group type   C2/m, No. 12

=====

A plane-wave DFT calculation with PBE was carried out for an optimized crystal structure of TiGaHg2.

a = 3.092 Å, b = 3.092 Å, c = 10.748 Å
α = 81.73°, β = 81.73°, γ = 60.00°
Positions (direct):
Hg 0.088 0.088 0.737
Hg 0.912 0.912 0.263
Ti 0.000 0.000 0.000
Ga 0.500 0.500 0.500

Calculated values
Size of the total moment   0.2 μB/cell
V   87.8 Å³/cell
Energy relative to the elements   0.35 eV/atom
Space-group type   R-3m, No. 166

=====

A plane-wave DFT calculation with PBE was carried out for an optimized crystal structure of Be3ReNi.

a = 3.790 Å, b = 3.790 Å, c = 3.790 Å
α = 90.00°, β = 90.00°, γ = 90.00°
Positions (direct):
Ni 0.000 0.000 0.000
Be 0.500 0.000 0.000
Be 0.000 0.000 0.500
Be 0.000 0.500 0.000
Re 0.500 0.500 0.500

Calculated values
Size of the total moment   0.6 μB/cell
V   54.5 Å³/cell
Energy relative to the elements   0.63 eV/atom
ΔE to the lowest computed polymorph   0 meV per atom
Space-group type   Pm-3m, No. 221

=====

A plane-wave DFT calculation with PBE was carried out for an optimized crystal structure of RbCd2As2.

a = 4.621 Å, b = 4.621 Å, c = 7.180 Å
α = 71.23°, β = 71.23°, γ = 90.00°
Positions (direct):
Cd 0.750 0.250 0.500
Cd 0.250 0.750 0.500
Rb 0.000 0.000 0.000
As 0.376 0.376 0.249
As 0.624 0.624 0.751

Calculated values
Size of the total moment   0.0 μB/cell
V   136.5 Å³/cell
Energy relative to the elements   -0.26 eV/atom
ΔE to the lowest computed polymorph   0 meV per atom
Space-group type   I4/mmm, No. 139

=====

A plane-wave DFT calculation with PBE was carried out for an optimized crystal structure of KBeZn2.

a = 5.455 Å, b = 5.455 Å, c = 5.455 Å
α = 138.02°, β = 112.63°, γ = 82.64°
Positions (direct):
Zn 0.089 0.089 0.000
Zn 0.411 0.411 0.000
K 0.750 0.250 0.500
Be 0.250 0.750 0.500

Calculated values
Size of the total moment   0.0 μB/cell
V   96.9 Å³/cell
Energy relative to the elements   0.52 eV/atom
Space-group type   Immm, No. 71

=====

A plane-wave DFT calculation with PBE was carried out for an optimized crystal structure of KInGaO2.

a = 4.293 Å, b = 6.037 Å, c = 4.293 Å
α = 90.00°, β = 90.00°, γ = 90.00°
Positions (direct):
O 0.000 0.000 0.500
O 0.500 0.000 0.000
K 0.000 0.500 0.000
Ga 0.500 0.500 0.500
In 0.000 0.000 0.000

Calculated values
ΔE_f (raw)   -6 kJ per mole of atoms
Size of the total moment   0.0 μB/cell
V   111.3 Å³/cell
Space-group type   P4/mmm, No. 123

=====

A plane-wave DFT calculation with PBE was carried out for an optimized crystal structure of PbS3F.

a = 5.224 Å, b = 5.224 Å, c = 5.224 Å
α = 90.00°, β = 90.00°, γ = 90.00°
Positions (direct):
S 0.000 0.000 0.500
S 0.500 0.000 0.000
S 0.000 0.500 0.000
Pb 0.000 0.000 0.000
F 0.500 0.500 0.500

Calculated values
ΔE_f (raw)   74 kJ per mole of atoms
Size of the total moment   3.4 μB/cell
V   142.5 Å³/cell
ΔE to the lowest computed polymorph   396 meV per atom
Space-group type   Pm-3m, No. 221